Record 1
Here is crystalline CrAs2Pb2 at its relaxed geometry from the Alexandria database. Energies are from PBE.

Unit cell a=6.519 b=6.519 c=5.619 alpha=90.00 beta=90.00 gamma=90.00
Space group P4/mbm (No. 127)
Inequivalent atoms, fractional coordinates:
Cr (0.000, 0.000, 0.000) [2 per cell]
As (0.137, 0.363, 0.000) [4 per cell]
Pb (0.199, 0.699, 0.500) [4 per cell]

Computed properties:
- Energy above the lowest structure with this stoichiometry: 0.000 eV/atom

Record 2
Here is crystalline Pr7Cd2Cu2 at its relaxed geometry from the Alexandria database. Energies are from PBE.

Unit cell a=8.126 b=11.526 c=7.419 alpha=90.00 beta=90.00 gamma=90.00
Space group Cmmm (No. 65)
Inequivalent atoms, fractional coordinates:
Pr (0.000, 0.000, 0.000) [2 per cell]
Pr (0.000, 0.500, 0.243) [4 per cell]
Pr (0.250, 0.250, 0.261) [8 per cell]
Cd (0.170, 0.000, 0.500) [4 per cell]
Cu (0.000, 0.294, 0.000) [4 per cell]

Record 3
Here is crystalline ErTiZnRu at its relaxed geometry from the Alexandria database. Energies are from PBE.

Unit cell a=6.574 b=6.574 c=6.574 alpha=90.00 beta=90.00 gamma=90.00
Space group F-43m (No. 216)
Inequivalent atoms, fractional coordinates:
Er (0.000, 0.000, 0.000) [4 per cell]
Ti (0.000, 0.000, 0.500) [4 per cell]
Zn (0.250, 0.250, 0.750) [4 per cell]
Ru (0.250, 0.250, 0.250) [4 per cell]

Record 4
Here is crystalline BeHg at its relaxed geometry from the Alexandria database. Energies are from PBE.

Unit cell a=3.791 b=3.213 c=5.274 alpha=90.00 beta=90.00 gamma=90.00
Space group Pmma (No. 51)
Inequivalent atoms, fractional coordinates:
Be (0.250, 0.000, 0.127) [2 per cell]
Hg (0.250, 0.500, 0.719) [2 per cell]

Computed properties:
- Energy above the lowest structure with this stoichiometry: 0.199 eV/atom

no.,ΔH_f (0 K) (eV per atom)
1,0.092
2,0.010
3,-0.283
4,0.494